Here is a relaxed LiAcInAu2 crystal from Alexandria. Energies are from PBE.

Magnetic moment: 0.000 μB per cell
DFT formation energy: -0.655 eV per atom
Final energy: -18.59 eV for the cell shown

abc: 4.272 4.272 7.261
angles: 107.11 107.11 90.00
Fractional positions:
1 Li 0.250 0.750 0.500
2 Ac 0.000 0.000 0.000
3 In 0.750 0.250 0.500
4 Au 0.609 0.609 0.218
5 Au 0.391 0.391 0.782



Here is a relaxed Pm2HoAl crystal from Alexandria. Energies are from PBE.

Magnetic moment: 0.000 μB per cell
DFT formation energy: -0.184 eV per atom
Final energy: -37.12 eV for the cell shown
Energy relative to the lowest polymorph listed for this composition: 0 meV/atom

abc: 5.333 6.987 6.987
angles: 120.25 90.00 90.00
Fractional positions:
1 Pm 0.500 0.176 0.824
2 Pm 0.000 0.354 0.179
3 Pm 0.000 0.821 0.646
4 Pm 0.000 0.822 0.178
5 Ho 0.500 0.647 0.822
6 Ho 0.500 0.178 0.353
7 Al 0.500 0.665 0.335
8 Al 0.000 0.337 0.663



Here is a relaxed PuMgTlPd crystal from Alexandria. Energies are from PBE.

Magnetic moment: 5.430 μB per cell
DFT formation energy: -0.194 eV per atom
Final energy: -24.26 eV for the cell shown

abc: 5.045 5.045 5.045
angles: 60.00 60.00 60.00
Site moments in Bohr magnetons follow the coordinates.
Fractional positions:
1 Tl 0.000 0.000 0.000  0.01
2 Mg 0.750 0.750 0.750  -0.01
3 Pd 0.500 0.500 0.500  -0.03
4 Pu 0.250 0.250 0.250  5.26



Here is a relaxed Sr2NpHgO6 crystal from Alexandria. Energies are from PBE.

Magnetic moment: 1.000 μB per cell
Final energy: -70.50 eV for the cell shown
ΔE_f (raw): -2.414 eV per atom

abc: 6.007 5.978 6.162
angles: 119.02 118.86 90.00
Site moments in Bohr magnetons follow the coordinates.
Fractional positions:
1 Sr 0.221 0.250 0.501  0.00
2 Sr 0.779 0.750 0.499  0.00
3 Np 0.000 0.500 0.000  1.21
4 Hg 0.500 0.000 0.000  -0.01
5 O 0.328 0.709 0.417  -0.04
6 O 0.164 0.188 0.860  -0.03
7 O 0.836 0.328 0.140  -0.03
8 O 0.164 0.672 0.860  -0.03
9 O 0.836 0.812 0.140  -0.03
10 O 0.672 0.291 0.583  -0.04



Here is a relaxed ReNClF5 crystal from Alexandria. Energies are from PBE.

Magnetic moment: 0.000 μB per cell
Final energy: -88.75 eV for the cell shown
ΔE_f (raw): -1.550 eV per atom

abc: 8.770 5.235 6.444
angles: 83.58 90.00 90.00
Fractional positions:
1 Re 0.750 0.971 0.792
2 Re 0.250 0.029 0.208
3 N 0.750 0.763 0.025
4 N 0.250 0.237 0.975
5 Cl 0.750 0.567 0.228
6 Cl 0.250 0.433 0.772
7 F 0.402 0.210 0.336
8 F 0.902 0.790 0.664
9 F 0.250 0.804 0.468
10 F 0.750 0.196 0.532
11 F 0.100 0.804 0.122
12 F 0.600 0.196 0.878
13 F 0.900 0.196 0.878
14 F 0.400 0.804 0.122
15 F 0.098 0.210 0.336
16 F 0.598 0.790 0.664



Here is a relaxed PmSmIr2 crystal from Alexandria. Energies are from PBE.

Magnetic moment: 0.000 μB per cell
DFT formation energy: -0.617 eV per atom
Final energy: -29.66 eV for the cell shown
Energy relative to the lowest polymorph listed for this composition: 45 meV/atom

abc: 3.649 4.871 4.871
angles: 90.00 90.00 90.00
Fractional positions:
1 Ir 0.000 0.000 0.500
2 Ir 0.000 0.500 0.000
3 Sm 0.500 0.500 0.500
4 Pm 0.500 0.000 0.000



Here is a relaxed PmSbRh2 crystal from Alexandria. Energies are from PBE.

Magnetic moment: 0.000 μB per cell
Final energy: -26.42 eV for the cell shown
Energy relative to the lowest polymorph listed for this composition: 60 meV/atom
ΔE_f (raw): -0.710 eV per atom

abc: 4.531 4.531 5.321
angles: 64.80 64.80 60.00
Fractional positions:
1 Sb 0.500 0.500 0.500
2 Rh 0.786 0.786 0.641
3 Rh 0.214 0.214 0.359
4 Pm 0.000 0.000 0.000



Here is a relaxed YBRh2Au crystal from Alexandria. Energies are from PBE.

Magnetic moment: 0.000 μB per cell
DFT formation energy: -0.564 eV per atom
Final energy: -33.94 eV for the cell shown

abc: 4.272 4.272 4.374
angles: 90.00 90.00 90.00
Fractional positions:
1 Y 0.500 0.500 0.500
2 Rh 0.000 0.500 0.000
3 Rh 0.500 0.000 0.000
4 B 0.000 0.000 0.000
5 Au 0.000 0.000 0.500